Record 1
Material: Li3Ag2Pd4
Method: DFT, PBE
State: relaxed

Output
- Energy of formation: -0.231 eV/atom

abc: 4.7815 7.8221 7.8246
angles: 71.78 84.20 84.23
Closest atoms and distances in Å follow each position.
Atoms (fractional coordinates):
Li  0.0920  0.9553  0.7182  7 Pd 2.60-2.89, 2 Ag 2.76-2.81
Li  0.4080  0.2818  0.0447  7 Pd 2.60-2.89, 2 Ag 2.76-2.81
Li  0.9080  0.0447  0.2818  7 Pd 2.60-2.89, 2 Ag 2.76-2.81
Li  0.5920  0.7182  0.9553  7 Pd 2.60-2.89, 2 Ag 2.76-2.81
Li  0.2500  0.3652  0.6348  4 Pd 2.60-2.86, 6 Ag 2.72-2.86
Li  0.7500  0.6348  0.3652  4 Pd 2.60-2.86, 6 Ag 2.72-2.86
Ag  0.1962  0.7390  0.4889  4 Pd 2.72-2.79, 5 Li 2.72-2.86, 1 Ag 2.87
Ag  0.3037  0.5111  0.2610  4 Pd 2.72-2.79, 5 Li 2.72-2.86, 1 Ag 2.87
Ag  0.8038  0.2610  0.5111  4 Pd 2.72-2.79, 5 Li 2.72-2.86, 1 Ag 2.87
Ag  0.6963  0.4889  0.7390  4 Pd 2.72-2.79, 5 Li 2.72-2.86, 1 Ag 2.87
Pd  0.5185  0.0702  0.8196  4 Li 2.60-2.75, 4 Pd 2.68-2.77, 1 Ag 2.72
Pd  0.9814  0.1804  0.9299  4 Li 2.60-2.75, 4 Pd 2.68-2.77, 1 Ag 2.72
Pd  0.4815  0.9298  0.1804  4 Li 2.60-2.75, 4 Pd 2.68-2.77, 1 Ag 2.72
Pd  0.0186  0.8196  0.0701  4 Li 2.60-2.75, 4 Pd 2.68-2.77, 1 Ag 2.72
Pd  0.6594  0.8575  0.5977  5 Li 2.63-2.89, 2 Pd 2.70-2.75, 3 Ag 2.74-2.79
Pd  0.8406  0.4023  0.1426  5 Li 2.63-2.89, 2 Pd 2.70-2.75, 3 Ag 2.74-2.79
Pd  0.3406  0.1425  0.4023  5 Li 2.63-2.89, 2 Pd 2.70-2.75, 3 Ag 2.74-2.79
Pd  0.1594  0.5977  0.8574  5 Li 2.63-2.89, 2 Pd 2.70-2.75, 3 Ag 2.74-2.79


Record 2
Material: CsOF3
Method: DFT, PBE
State: relaxed

Output
- Energy relative to the elements, uncorrected: -1.1828 eV/atom
- ΔE to the lowest computed polymorph: 17 kJ/mol of formula units

abc: 6.0855 6.5100 5.9495
angles: 91.06 91.74 62.34
Closest atoms and distances in Å follow each position.
Atoms (fractional coordinates):
Cs  0.2240  0.1558  0.4539  5 F 2.87-3.19
Cs  0.9067  0.8010  0.8711  10 F 3.00-3.30
O  0.5514  0.5303  0.1602  1 O 1.18
O  0.5784  0.4658  0.9711  1 O 1.18
F  0.9533  0.6410  0.3485  1 F 1.75
F  0.4341  0.7396  0.7839  1 O 1.94
F  0.8181  0.9417  0.3850  2 F 1.73-1.75
F  0.9292  0.2875  0.9251  1 O 1.92
F  0.3949  0.2974  0.9187  1 O 1.91
F  0.6842  0.2364  0.4399  1 F 1.73


Number 1: total energy -68.6 eV per cell. Number 2: total energy -34.7 eV per cell.